# BiPt2Pb, relaxed, DFT PBE-GGA
# Magnetic moment   0.002 μB/cell
# Theoretical density   14.35 g/cm³
# DFT total energy   -5.234 eV/atom
data_BiPt2Pb
_symmetry_space_group_name_H-M 'P n m a'
_symmetry_Int_Tables_number 62
_symmetry_space_group_name_Hall '-P 2ac 2n'
_cell_length_a 7.632
_cell_length_b 5.564
_cell_length_c 8.791
_cell_angle_alpha 90.00
_cell_angle_beta 90.00
_cell_angle_gamma 90.00
loop_
_atom_site_label
_atom_site_type_symbol
_atom_site_fract_x
_atom_site_fract_y
_atom_site_fract_z
Bi1 Bi 0.084 0.250 0.126
Pt1 Pt 0.248 0.001 0.875
Pb1 Pb 0.082 0.250 0.624